# 1
Computed, not measured: a relaxed UCuSb2N crystal at the PBE-GGA level of DFT.

It has space group P4/nmm (No. 129, origin choice 2), with a = 3.841 Å, b = 3.841 Å, c = 14.068 Å, α = 90.00°, β = 90.00° and γ = 90.00°. The inequivalent atoms are U at (0.250, 0.250, 0.082), Cu at (0.250, 0.250, 0.609), Sb at (0.250, 0.250, 0.422), Sb at (0.250, 0.250, 0.791) and N at (0.250, 0.750, 0.000).

The uncorrected formation energy is -2.6 eV per formula unit. The density of states at the Fermi level comes out at 5.39 states/eV/f.u.

=====

# 2
Computed, not measured: a relaxed Sm3Zn2In crystal at the PBE-GGA level of DFT.

It has space group P4/mmm (No. 123), with a = 3.635 Å, b = 3.635 Å, c = 11.572 Å, α = 90.00°, β = 90.00° and γ = 90.00°. The inequivalent atoms are Sm at (0.000, 0.000, 0.000), Sm at (0.000, 0.000, 0.315), Zn at (0.500, 0.500, 0.154) and In at (0.500, 0.500, 0.500).

Its formation enthalpy at 0 K is -0.375 eV per atom. The density of states at the Fermi level comes out at 7.39 states/eV/f.u.